Record 1
Computed, not measured: a relaxed Ca3Ac2SmTe6 crystal at the PBE-GGA level of DFT.

- Energy: -0.343 Ry per atom
- Space-group type: No. 12
- Calculated volume: 33.91 Å³ per atom
- N(E_F): 0.43 states/eV per atom

Lattice parameters (Å, degrees): 10.2852 10.2852 9.2252 104.21 104.21 25.52
Sites, in units of the cell vectors:
Ca1 0.0000 0.0000 0.0000
Ca2 0.3315 0.3315 0.6664
Ca3 0.6685 0.6685 0.3336
Ac1 0.3363 0.3363 0.1727
Ac2 0.6637 0.6637 0.8273
Sm1 0.0000 0.0000 0.5000
Te1 0.1632 0.1632 0.0925
Te2 0.1655 0.1655 0.5670
Te3 0.4940 0.4940 0.7459
Te4 0.5060 0.5060 0.2541
Te5 0.8345 0.8345 0.4330
Te6 0.8368 0.8368 0.9075

=====

Record 2
Computed, not measured: a relaxed Pm8SmCd2 crystal at the PBE-GGA level of DFT.

- Energy: -0.277 Ry per atom
- Space-group type: No. 12
- Distance to the lowest polymorph of the same formula: 0.356 eV/atom
- DFT formation energy: 27 kJ/mol of atoms
- Calculated volume: 36.44 Å³ per atom
- N(E_F): 1.41 states/eV per atom

Lattice parameters (Å, degrees): 8.9393 8.9393 5.2945 98.90 98.90 75.03
Sites, in units of the cell vectors:
Pm1 0.0846 0.0846 0.2927
Pm2 0.1341 0.6645 0.2124
Pm3 0.2608 0.2608 0.8726
Pm4 0.3355 0.8659 0.7876
Pm5 0.6645 0.1341 0.2124
Pm6 0.7392 0.7392 0.1274
Pm7 0.8659 0.3355 0.7876
Pm8 0.9154 0.9154 0.7073
Sm1 0.5000 0.5000 0.0000
Cd1 0.3770 0.3770 0.4462
Cd2 0.6230 0.6230 0.5538

=====

Record 3
Computed, not measured: a relaxed MnP3 crystal at the PBE-GGA level of DFT.

- Energy: -0.449 Ry per atom
- Space-group type: No. 139
- Distance to the lowest polymorph of the same formula: 0.406 eV/atom
- DFT formation energy: 24 kJ/mol of atoms
- Calculated volume: 14.94 Å³ per atom
- N(E_F): 0.56 states/eV per atom

Lattice parameters (Å, degrees): 11.1920 11.1920 11.1920 163.02 163.02 24.10
Sites, in units of the cell vectors:
Mn1 0.1631 0.1631 0.0000
Mn2 0.8369 0.8369 0.0000
P1 0.0000 0.5000 0.5000
P2 0.2500 0.7500 0.5000
P3 0.3834 0.3834 0.0000
P4 0.5000 0.0000 0.5000
P5 0.6166 0.6166 0.0000
P6 0.7500 0.2500 0.5000

=====

Record 4
Computed, not measured: a relaxed YSc2SnBr crystal at the PBE-GGA level of DFT.

- Energy: -0.336 Ry per atom
- Space-group type: No. 123
- Calculated volume: 34.80 Å³ per atom
- N(E_F): 0.96 states/eV per atom

Lattice parameters (Å, degrees): 5.4772 5.4772 5.7994 90.00 90.00 90.00
Sites, in units of the cell vectors:
Y1 0.0000 0.0000 0.0000
Sc1 0.0000 0.5000 0.5000
Sc2 0.5000 0.0000 0.5000
Sn1 0.5000 0.5000 0.5000
Br1 0.5000 0.5000 0.0000

=====

Record 5
Computed, not measured: a relaxed AlSbPt2 crystal at the PBE-GGA level of DFT.

- Energy: -0.407 Ry per atom
- Space-group type: No. 123
- Distance to the lowest polymorph of the same formula: 0.003 eV/atom
- Calculated volume: 17.48 Å³ per atom
- N(E_F): 0.34 states/eV per atom

Lattice parameters (Å, degrees): 3.1174 3.1174 7.1966 90.00 90.00 90.00
Sites, in units of the cell vectors:
Al1 0.0000 0.0000 0.0000
Sb1 0.0000 0.0000 0.5000
Pt1 0.5000 0.5000 0.2004
Pt2 0.5000 0.5000 0.7996

=====

Record 6
Computed, not measured: a relaxed UC2 crystal at the PBE-GGA level of DFT.

- Energy: -0.715 Ry per atom
- Space-group type: No. 205
- Distance to the lowest polymorph of the same formula: 0.293 eV/atom
- DFT formation energy: 17 kJ/mol of atoms
- Calculated volume: 13.08 Å³ per atom
- N(E_F): 0.35 states/eV per atom

Lattice parameters (Å, degrees): 5.3946 5.3946 5.3946 90.00 90.00 90.00
Sites, in units of the cell vectors:
U1 0.0000 0.0000 0.0000
U2 0.0000 0.5000 0.5000
U3 0.5000 0.0000 0.5000
U4 0.5000 0.5000 0.0000
C1 0.0767 0.5767 0.9233
C2 0.0767 0.9233 0.4233
C3 0.4233 0.0767 0.9233
C4 0.4233 0.4233 0.4233
C5 0.5767 0.5767 0.5767
C6 0.5767 0.9233 0.0767
C7 0.9233 0.0767 0.5767
C8 0.9233 0.4233 0.0767

=====

Record 7
Computed, not measured: a relaxed Zr3Cu3N crystal at the PBE-GGA level of DFT.

- Energy: -0.532 Ry per atom
- Space-group type: No. 227
- Calculated volume: 15.19 Å³ per atom
- N(E_F): 0.63 states/eV per atom

Lattice parameters (Å, degrees): 8.4419 8.4419 8.4419 60.00 60.00 60.00
Sites, in units of the cell vectors:
Zr1 0.0649 0.0649 0.6851
Zr2 0.0649 0.6851 0.0649
Zr3 0.0649 0.6851 0.6851
Zr4 0.3149 0.3149 0.9351
Zr5 0.3149 0.9351 0.3149
Zr6 0.3149 0.9351 0.9351
Zr7 0.6851 0.0649 0.0649
Zr8 0.6851 0.0649 0.6851
Zr9 0.6851 0.6851 0.0649
Zr10 0.9351 0.3149 0.3149
Zr11 0.9351 0.3149 0.9351
Zr12 0.9351 0.9351 0.3149
Cu1 0.0000 0.5000 0.5000
Cu2 0.2947 0.2947 0.2947
Cu3 0.2947 0.2947 0.6160
Cu4 0.2947 0.6160 0.2947
Cu5 0.3840 0.7053 0.7053
Cu6 0.5000 0.0000 0.5000
Cu7 0.5000 0.5000 0.0000
Cu8 0.5000 0.5000 0.5000
Cu9 0.6160 0.2947 0.2947
Cu10 0.7053 0.3840 0.7053
Cu11 0.7053 0.7053 0.3840
Cu12 0.7053 0.7053 0.7053
N1 0.0000 0.0000 0.0000
N2 0.0000 0.0000 0.5000
N3 0.0000 0.5000 0.0000
N4 0.5000 0.0000 0.0000

=====

Record 8
Computed, not measured: a relaxed V3SnH3 crystal at the PBE-GGA level of DFT.

- Energy: -0.447 Ry per atom
- Space-group type: No. 223
- Calculated volume: 9.72 Å³ per atom
- N(E_F): 0.62 states/eV per atom

Lattice parameters (Å, degrees): 5.1438 5.1438 5.1438 90.00 90.00 90.00
Sites, in units of the cell vectors:
V1 0.0000 0.2500 0.5000
V2 0.0000 0.7500 0.5000
V3 0.2500 0.5000 0.0000
V4 0.5000 0.0000 0.2500
V5 0.5000 0.0000 0.7500
V6 0.7500 0.5000 0.0000
Sn1 0.0000 0.0000 0.0000
Sn2 0.5000 0.5000 0.5000
H1 0.0000 0.5000 0.2500
H2 0.0000 0.5000 0.7500
H3 0.2500 0.0000 0.5000
H4 0.5000 0.2500 0.0000
H5 0.5000 0.7500 0.0000
H6 0.7500 0.0000 0.5000